Material: Eu2YEr
Method: DFT, PBE
State: optimized geometry

Summary:
E_tot = -7.79 eV per atom
Offset from the most stable computed form = 0 meV per atom
DFT formation energy = 106 meV/atom
Mass density = 6.62 g cm⁻³
Crystal system = trigonal

a = 12.3017 Å, b = 12.3017 Å, c = 12.3017 Å
α = 17.10°, β = 17.10°, γ = 17.10°
Sites, in units of the cell vectors:
Eu (0.2493, 0.2493, 0.2493)
Eu (0.7507, 0.7507, 0.7507)
Y (0.0000, 0.0000, 0.0000)
Er (0.5000, 0.5000, 0.5000)

***

Material: PrGa2Ni5
Method: DFT, PBE
State: optimized geometry

Summary:
E_tot = -5.30 eV per atom
DFT formation energy = -331 meV/atom
Mass density = 8.04 g cm⁻³
Crystal system = orthorhombic

a = 6.1018 Å, b = 6.1018 Å, c = 6.1018 Å
α = 144.30°, β = 113.82°, γ = 77.53°
Sites, in units of the cell vectors:
Pr (0.0000, 0.0000, 0.0000)
Ga (0.2559, 0.7559, 0.5000)
Ga (0.7441, 0.2441, 0.5000)
Ni (0.1798, 0.3649, 0.8149)
Ni (0.4500, 0.6351, 0.8149)
Ni (0.5000, 0.0000, 0.5000)
Ni (0.5500, 0.3649, 0.1851)
Ni (0.8202, 0.6351, 0.1851)

***

Material: Fe2Ir
Method: DFT, PBE
State: optimized geometry

Summary:
E_tot = -8.40 eV per atom
DFT formation energy = 199 meV/atom
Mass density = 12.53 g cm⁻³
Crystal system = tetragonal

a = 11.7537 Å, b = 11.7537 Å, c = 11.7537 Å
α = 167.13°, β = 167.13°, γ = 18.24°
Sites, in units of the cell vectors:
Fe (0.2946, 0.5446, 0.7500)
Fe (0.4554, 0.7054, 0.7500)
Fe (0.5446, 0.2946, 0.2500)
Fe (0.7054, 0.4554, 0.2500)
Ir (0.1250, 0.8750, 0.2500)
Ir (0.8750, 0.1250, 0.7500)

***

Material: SrTeMo2
Method: DFT, PBE
State: optimized geometry

Summary:
E_tot = -6.34 eV per atom
Mass density = 6.87 g cm⁻³
Crystal system = monoclinic

a = 3.4319 Å, b = 4.1404 Å, c = 6.9298 Å
α = 90.00°, β = 90.05°, γ = 90.00°
Sites, in units of the cell vectors:
Sr (0.0000, 0.0000, 0.0000)
Te (0.4989, 0.5000, 0.7089)
Mo (0.4992, 0.0000, 0.4212)
Mo (0.9985, 0.5000, 0.3958)

***

Material: Li2SiBi
Method: DFT, PBE
State: optimized geometry

Summary:
E_tot = -3.30 eV per atom
Offset from the most stable computed form = 84 meV per atom
Mass density = 4.96 g cm⁻³
Crystal system = tetragonal

a = 9.8336 Å, b = 9.8336 Å, c = 9.8336 Å
α = 155.12°, β = 155.12°, γ = 35.47°
Sites, in units of the cell vectors:
Li (0.0877, 0.6250, 0.9627)
Li (0.3750, 0.3377, 0.4627)
Li (0.6623, 0.1250, 0.0373)
Li (0.8750, 0.9123, 0.5373)
Si (0.0000, 0.0000, 0.0000)
Si (0.7500, 0.2500, 0.5000)
Bi (0.2500, 0.7500, 0.5000)
Bi (0.5000, 0.5000, 0.0000)

***

Material: CsRbLiCl3
Method: DFT, PBE
State: optimized geometry

Summary:
E_tot = -3.40 eV per atom
Mass density = 2.71 g cm⁻³
Crystal system = monoclinic

a = 9.1488 Å, b = 9.1488 Å, c = 9.3777 Å
α = 104.77°, β = 104.77°, γ = 32.50°
Sites, in units of the cell vectors:
Cs (0.1480, 0.1480, 0.0745)
Cs (0.8520, 0.8520, 0.9255)
Rb (0.1499, 0.1499, 0.5736)
Rb (0.8501, 0.8501, 0.4264)
Li (0.4983, 0.4983, 0.7346)
Li (0.5017, 0.5017, 0.2654)
Cl (0.0010, 0.0010, 0.2640)
Cl (0.3511, 0.3511, 0.6651)
Cl (0.3549, 0.3549, 0.1887)
Cl (0.6451, 0.6451, 0.8113)
Cl (0.6489, 0.6489, 0.3349)
Cl (0.9990, 0.9990, 0.7360)

***

Material: LiCa4Ta
Method: DFT, PBE
State: optimized geometry

Summary:
E_tot = -2.70 eV per atom
DFT formation energy = 928 meV/atom
Mass density = 2.83 g cm⁻³
Crystal system = cubic

a = 6.6103 Å, b = 6.6103 Å, c = 6.6103 Å
α = 60.00°, β = 60.00°, γ = 60.00°
Sites, in units of the cell vectors:
Li (0.0000, 0.0000, 0.0000)
Ca (0.3757, 0.3757, 0.3757)
Ca (0.3757, 0.3757, 0.8730)
Ca (0.3757, 0.8730, 0.3757)
Ca (0.8730, 0.3757, 0.3757)
Ta (0.7500, 0.7500, 0.7500)

***

Material: Pm12TlCo5
Method: DFT, PBE
State: optimized geometry

Summary:
E_tot = -5.42 eV per atom
DFT formation energy = -144 meV/atom
Mass density = 7.78 g cm⁻³
Crystal system = orthorhombic

a = 8.5320 Å, b = 8.5320 Å, c = 8.5320 Å
α = 110.56°, β = 109.87°, γ = 108.00°
Sites, in units of the cell vectors:
Pm (0.0092, 0.2004, 0.8089)
Pm (0.1855, 0.2984, 0.4839)
Pm (0.1855, 0.7016, 0.8871)
Pm (0.3152, 0.0092, 0.6939)
Pm (0.3152, 0.6213, 0.3061)
Pm (0.3915, 0.2004, 0.1911)
Pm (0.6085, 0.7996, 0.8089)
Pm (0.6848, 0.3787, 0.6939)
Pm (0.6848, 0.9908, 0.3061)
Pm (0.8145, 0.2984, 0.1129)
Pm (0.8145, 0.7016, 0.5161)
Pm (0.9908, 0.7996, 0.1911)
Tl (0.5000, 0.5000, 0.0000)
Co (0.0000, 0.0000, 0.0000)
Co (0.1120, 0.6120, 0.5000)
Co (0.3812, 0.0000, 0.3812)
Co (0.6188, 0.0000, 0.6188)
Co (0.8880, 0.3880, 0.5000)